Run P
A relaxed structure of SmThNi, computed with GGA-PBE.

Cell: 4.5724 4.5072 4.5072 Å, 120.00 90.00 90.00°
With the nearest neighbours (Å) after each atom.
Sites, in units of the cell vectors:
Ni: 0.1667 0.3333 0.6667  3 Th 2.60
Sm: 0.6666 0.6667 0.3333  6 Ni 3.46, 6 Th 3.46
Th: 0.1667 0.0000 0.0000  3 Ni 2.60

Output
total magnetic moment = 0.00 Bohr magnetons per cell
V = 80.4 Å³/cell
crystal system = hexagonal

---

Run Q
A relaxed structure of SmThNi, computed with GGA-PBE.

Cell: 5.6850 6.4962 10.6246 Å, 83.28 74.48 64.05°
With the nearest neighbours (Å) after each atom.
Sites, in units of the cell vectors:
Sm: 0.1013 0.7877 0.5713  3 Ni 2.84-2.87
Sm: 0.6390 0.7123 0.0713  3 Ni 2.84-2.87
Sm: 0.4603 0.2123 0.4287  3 Ni 2.84-2.87
Sm: 0.4226 0.2877 0.9287  3 Ni 2.84-2.87
Th: 0.2466 0.8691 0.8471  3 Ni 2.75-2.84
Th: 0.8657 0.6309 0.3471  3 Ni 2.75-2.84
Th: 0.9627 0.1309 0.1529  3 Ni 2.75-2.84
Th: 0.8436 0.3691 0.6529  3 Ni 2.75-2.84
Ni: 0.5681 0.8269 0.5976  3 Th 2.75-2.84, 3 Sm 2.84-2.87
Ni: 0.1450 0.6731 0.0976  3 Th 2.75-2.84, 3 Sm 2.84-2.87
Ni: 0.9926 0.1731 0.4024  3 Th 2.75-2.84, 3 Sm 2.84-2.87
Ni: 0.9157 0.3269 0.9024  3 Th 2.75-2.84, 3 Sm 2.84-2.87

Output
total magnetic moment = 0.00 Bohr magnetons per cell
V = 340.0 Å³/cell
crystal system = orthorhombic

---

We find run P to be the most stable, with the next structure 0.013 eV/atom higher.

---

Run P
A relaxed structure of SmThNi, computed with GGA-PBE.

Cell: 4.8472 4.8472 4.8472 Å, 60.00 60.00 60.00°
With the nearest neighbours (Å) after each atom.
Sites, in units of the cell vectors:
Ni: 0.2500 0.2500 0.2500  4 Sm 2.97, 4 Th 2.97
Sm: 0.0000 0.0000 0.0000  4 Ni 2.97
Th: 0.5000 0.5000 0.5000  4 Ni 2.97

Output
total magnetic moment = 0.00 Bohr magnetons per cell
V = 80.5 Å³/cell
crystal system = cubic

---

Run Q
A relaxed structure of SmThNi, computed with GGA-PBE.

Cell: 3.5715 3.5715 6.4223 Å, 106.14 106.14 90.00°
With the nearest neighbours (Å) after each atom.
Sites, in units of the cell vectors:
Ni: 0.6843 0.6843 0.3686  4 Th 2.87, 4 Sm 3.21
Sm: 0.0162 0.0162 0.0324  4 Ni 3.21, 5 Th 3.35-3.60, 4 Sm 3.57
Th: 0.2995 0.2995 0.5990  4 Ni 2.87

Output
total magnetic moment = 0.00 Bohr magnetons per cell
V = 75.3 Å³/cell
crystal system = tetragonal

---

We find run Q to be the most stable, with the next structure 0.165 eV/atom higher.

---

Run P
A relaxed structure of Sm6Tl2Ni, computed with GGA-PBE.

Cell: 5.3100 7.3028 8.6850 Å, 114.86 107.80 90.00°
With the nearest neighbours (Å) after each atom.
Sites, in units of the cell vectors:
Sm: 0.1516 0.3941 0.3029  1 Ni 2.86, 1 Tl 3.20
Sm: 0.8484 0.0912 0.6971  1 Ni 2.86, 1 Tl 3.20
Sm: 0.8484 0.6059 0.6971  1 Ni 2.86, 1 Tl 3.20
Sm: 0.5000 0.2212 0.0000  2 Ni 3.11, 2 Tl 3.23, 1 Sm 3.23
Sm: 0.1516 0.9088 0.3029  1 Ni 2.86, 1 Tl 3.20
Sm: 0.5000 0.7788 0.0000  2 Ni 3.11, 2 Tl 3.23, 1 Sm 3.23
Tl: 0.6687 0.6686 0.3373  8 Sm 3.20-3.26
Tl: 0.3313 0.3314 0.6627  8 Sm 3.20-3.26
Ni: 0.0000 0.0000 0.0000  8 Sm 2.86-3.11

Output
total magnetic moment = 0.00 Bohr magnetons per cell
V = 287.7 Å³/cell
crystal system = orthorhombic

---

Run Q
A relaxed structure of Sm6Tl2Ni, computed with GGA-PBE.

Cell: 3.7792 8.9373 8.9366 Å, 120.00 90.00 90.00°
With the nearest neighbours (Å) after each atom.
Sites, in units of the cell vectors:
Sm: 0.5000 0.5983 0.0000  4 Tl 3.32, 1 Ni 3.59, 4 Sm 3.65
Sm: 0.5000 0.4017 0.4016  4 Tl 3.32, 1 Ni 3.59, 4 Sm 3.65
Sm: 0.5000 0.0001 0.5984  4 Tl 3.32, 1 Ni 3.59, 4 Sm 3.65
Sm: 0.0000 0.2346 0.0000  2 Ni 2.82
Sm: 0.0000 0.7654 0.7654  2 Ni 2.82
Sm: 0.0000 0.0000 0.2346  2 Ni 2.82
Tl: 0.0000 0.3334 0.6666  9 Sm 3.32-3.51
Tl: 0.0000 0.6668 0.3334  9 Sm 3.32-3.51
Ni: 0.5000 0.0000 0.0000  6 Sm 2.82

Output
total magnetic moment = 0.00 Bohr magnetons per cell
V = 261.4 Å³/cell
crystal system = hexagonal

---

We find run Q to be the most stable, with the next structure 0.208 eV/atom higher.

---

Run P
A relaxed structure of Sm8Tl2Ni, computed with GGA-PBE.

Cell: 5.1172 6.9080 9.8321 Å, 101.69 105.08 90.00°
With the nearest neighbours (Å) after each atom.
Sites, in units of the cell vectors:
Sm: 0.4099 0.5348 0.8197  1 Ni 3.31, 5 Sm 3.44-3.64, 2 Tl 3.51
Sm: 0.6437 0.9892 0.2874  1 Ni 2.75
Sm: 0.7908 0.6867 0.5815  3 Tl 3.20-3.36, 2 Sm 3.46
Sm: 0.9863 0.2223 0.9725  2 Ni 3.02, 1 Sm 3.22, 1 Tl 3.28
Sm: 0.2092 0.3133 0.4185  3 Tl 3.20-3.36, 2 Sm 3.46
Sm: 0.3563 0.0108 0.7126  1 Ni 2.75
Sm: 0.5901 0.4652 0.1803  1 Ni 3.31, 5 Sm 3.44-3.64, 2 Tl 3.51
Sm: 0.0137 0.7777 0.0275  2 Ni 3.02, 1 Sm 3.22, 1 Tl 3.28
Tl: 0.8153 0.2422 0.6306  9 Sm 3.20-3.51
Tl: 0.1847 0.7578 0.3694  9 Sm 3.20-3.51
Ni: 0.5000 0.0000 0.0000  6 Sm 2.75-3.02

Output
total magnetic moment = 0.00 Bohr magnetons per cell
V = 328.1 Å³/cell
crystal system = monoclinic

---

Run Q
A relaxed structure of Sm8Tl2Ni, computed with GGA-PBE.

Cell: 5.8243 9.3145 9.3145 Å, 121.67 108.38 108.38°
With the nearest neighbours (Å) after each atom.
Sites, in units of the cell vectors:
Sm: 0.7283 0.4087 0.1809  1 Ni 2.78
Sm: 0.7283 0.1809 0.4087  1 Ni 2.78
Sm: 0.9866 0.1237 0.1237  1 Ni 2.65
Sm: 0.9993 0.2233 0.8208  4 Tl 3.30-3.49, 5 Sm 3.40-3.56
Sm: 0.9993 0.8208 0.2233  4 Tl 3.30-3.49, 5 Sm 3.40-3.56
Sm: 0.6538 0.6357 0.6357  1 Ni 3.09, 2 Tl 3.34
Sm: 0.3078 0.9073 0.6808  1 Ni 2.71
Sm: 0.3078 0.6808 0.9073  1 Ni 2.71
Tl: 0.4866 0.7164 0.3199  9 Sm 3.30-3.61
Tl: 0.4866 0.3199 0.7164  9 Sm 3.30-3.61
Ni: 0.3152 0.0165 0.0165  5 Sm 2.65-2.78

Output
total magnetic moment = 0.00 Bohr magnetons per cell
V = 327.9 Å³/cell
crystal system = monoclinic

---

We find run Q to be the most stable, with the next structure 0.006 eV/atom higher.

---

Run P
A relaxed structure of SmTmNi, computed with GGA-PBE.

Cell: 3.8873 3.8810 12.3741 Å, 90.04 81.07 60.11°
With the nearest neighbours (Å) after each atom.
Sites, in units of the cell vectors:
Sm: 0.5724 0.9842 0.6783  9 Sm 3.54-3.89, 3 Tm 3.70-3.71
Sm: 0.7579 0.3921 0.9032  9 Sm 3.54-3.89, 3 Tm 3.70-3.71
Tm: 0.0701 0.2358 0.4362  6 Ni 2.84-2.87
Tm: 0.2614 0.1402 0.1453  6 Ni 2.84-2.87
Ni: 0.8318 0.8552 0.2922  3 Ni 2.24-2.25
Ni: 0.4999 0.5208 0.2894  3 Ni 2.24-2.25

Output
total magnetic moment = 0.00 Bohr magnetons per cell
V = 159.2 Å³/cell
crystal system = triclinic

---

Run Q
A relaxed structure of SmTmNi, computed with GGA-PBE.

Cell: 3.4117 3.4117 6.6713 Å, 104.82 104.82 90.00°
With the nearest neighbours (Å) after each atom.
Sites, in units of the cell vectors:
Ni: 0.6591 0.6591 0.3182  4 Tm 2.84, 4 Sm 3.00
Tm: 0.0386 0.0386 0.0773  4 Ni 2.84
Sm: 0.3023 0.3023 0.6045  4 Ni 3.00, 1 Tm 3.28

Output
total magnetic moment = 0.00 Bohr magnetons per cell
V = 72.4 Å³/cell
crystal system = tetragonal

---

Run R
A relaxed structure of SmTmNi, computed with GGA-PBE.

Cell: 4.1177 4.5121 4.5121 Å, 120.00 90.00 90.00°
With the nearest neighbours (Å) after each atom.
Sites, in units of the cell vectors:
Ni: 0.2898 0.3333 0.6667  3 Tm 2.72, 3 Sm 2.92
Tm: 0.0997 0.0000 0.0000  3 Ni 2.72
Sm: 0.6106 0.6667 0.3333  3 Ni 2.92

Output
total magnetic moment = 0.00 Bohr magnetons per cell
V = 72.6 Å³/cell
crystal system = trigonal

---

Run S
A relaxed structure of SmTmNi, computed with GGA-PBE.

Cell: 3.6587 6.9303 6.3568 Å, 105.49 106.75 74.61°
With the nearest neighbours (Å) after each atom.
Sites, in units of the cell vectors:
Sm: 0.0724 0.5315 0.0728  3 Ni 2.83-2.95
Sm: 0.7432 0.6830 0.5646  3 Ni 2.83-2.95
Tm: 0.4943 0.2175 0.6020  4 Ni 2.77-2.92
Tm: 0.3214 0.9970 0.0354  4 Ni 2.77-2.92
Ni: 0.7857 0.2832 0.2505  1 Ni 2.65, 4 Tm 2.77-2.92, 3 Sm 2.83-2.95
Ni: 0.0302 0.9315 0.3868  1 Ni 2.65, 4 Tm 2.77-2.92, 3 Sm 2.83-2.95

Output
total magnetic moment = 0.00 Bohr magnetons per cell
V = 145.6 Å³/cell
crystal system = triclinic

---

We find run S to be the most stable, with the next structure 0.052 eV/atom higher.